No. 1
A plane-wave DFT calculation with PBE was carried out for crystalline MnAlZn2 at its relaxed geometry.

a b c (Å): 4.803 4.803 4.799
angles (deg): 133.95 133.99 67.13
Last column: magnetic moment on the atom in μB.
Fractional positions:
Zn1 0.000 0.000 0.000  -0.07
Al1 0.500 0.500 0.000  -0.06
Zn2 0.750 0.250 0.500  -0.07
Mn1 0.250 0.750 0.500  2.66

Calculated values
calculated total energy = -0.143 hartree per atom

---

No. 2
A plane-wave DFT calculation with PBE was carried out for crystalline MnAlZn2 at its relaxed geometry.

a b c (Å): 4.714 4.714 4.648
angles (deg): 76.91 76.91 34.46
Last column: magnetic moment on the atom in μB.
Fractional positions:
Zn1 0.249 0.249 0.235  -0.06
Zn2 0.004 0.004 0.006  -0.03
Al1 0.495 0.495 0.529  -0.03
Mn1 0.752 0.752 0.730  2.52

Calculated values
calculated total energy = -0.142 hartree per atom

---

No. 3
A plane-wave DFT calculation with PBE was carried out for crystalline MnAl6Zn2 at its relaxed geometry.

a b c (Å): 3.105 7.159 7.169
angles (deg): 119.96 90.00 90.00
Fractional positions:
Al1 0.000 0.000 0.268
Al2 0.000 0.269 0.000
Al3 0.000 0.732 0.732
Zn1 0.000 0.333 0.666
Mn1 0.500 0.000 0.000
Zn2 0.000 0.667 0.334
Al4 0.500 0.360 0.360
Al5 0.500 0.000 0.640
Al6 0.500 0.639 0.000

Calculated values
energy above the lowest structure with this stoichiometry = 0 meV/atom
calculated total energy = -0.141 hartree per atom

---

No. 4
A plane-wave DFT calculation with PBE was carried out for crystalline MnAl2Zn8 at its relaxed geometry.

a b c (Å): 4.423 8.858 8.858
angles (deg): 32.51 70.66 70.66
Last column: magnetic moment on the atom in μB.
Fractional positions:
Zn1 0.351 0.334 0.845  -0.03
Al1 0.867 0.739 0.739  -0.01
Zn2 0.649 0.155 0.666  -0.03
Al2 0.133 0.261 0.261  -0.01
Mn1 0.000 0.000 0.000  3.29
Zn3 0.351 0.845 0.334  -0.03
Zn4 0.860 0.578 0.578  -0.04
Zn5 0.649 0.666 0.155  -0.03
Zn6 0.140 0.422 0.422  -0.04
Zn7 0.255 0.830 0.830  -0.02
Zn8 0.745 0.170 0.170  -0.02

Calculated values
calculated total energy = -0.086 hartree per atom

---

No. 5
A plane-wave DFT calculation with PBE was carried out for crystalline MnAlZn2 at its relaxed geometry.

a b c (Å): 2.775 2.775 7.418
angles (deg): 90.00 90.00 90.00
Last column: magnetic moment on the atom in μB.
Fractional positions:
Al1 0.000 0.000 0.518  -0.03
Zn1 0.500 0.500 0.247  0.02
Zn2 0.000 0.000 0.988  -0.03
Mn1 0.500 0.500 0.747  2.64

Calculated values
calculated total energy = -0.144 hartree per atom

---

No. 6
A plane-wave DFT calculation with PBE was carried out for crystalline MnAl6Zn2 at its relaxed geometry.

a b c (Å): 4.549 4.628 7.036
angles (deg): 94.68 106.61 86.59
Last column: magnetic moment on the atom in μB.
Fractional positions:
Al1 0.595 0.358 0.156  -0.01
Al2 0.807 0.454 0.620  -0.01
Al3 0.193 0.546 0.380  -0.01
Al4 0.150 0.012 0.179  -0.01
Zn1 0.279 0.086 0.606  0.00
Mn1 0.000 0.500 0.000  0.85
Al5 0.850 0.988 0.821  -0.01
Zn2 0.721 0.914 0.394  0.00
Al6 0.405 0.642 0.844  -0.01

Calculated values
energy above the lowest structure with this stoichiometry = 7 meV/atom
calculated total energy = -0.141 hartree per atom

---

No. 7
A plane-wave DFT calculation with PBE was carried out for crystalline MnAlZn2 at its relaxed geometry.

a b c (Å): 4.927 2.724 6.648
angles (deg): 90.00 137.30 90.00
Last column: magnetic moment on the atom in μB.
Fractional positions:
Al1 0.500 0.500 0.000  -0.05
Zn1 0.252 0.000 0.503  -0.02
Zn2 0.748 0.000 0.497  -0.02
Mn1 0.000 0.000 0.000  2.90

Calculated values
calculated total energy = -0.137 hartree per atom

---

No. 8
A plane-wave DFT calculation with PBE was carried out for crystalline MnAlZn2 at its relaxed geometry.

a b c (Å): 2.831 3.810 5.348
angles (deg): 90.00 90.00 90.00
Last column: magnetic moment on the atom in μB.
Fractional positions:
Al1 0.500 0.500 0.250  -0.02
Zn1 0.000 0.000 0.991  -0.03
Mn1 0.500 0.500 0.750  2.94
Zn2 0.000 0.000 0.509  -0.03

Calculated values
calculated total energy = -0.142 hartree per atom

---

No. 9
A plane-wave DFT calculation with PBE was carried out for crystalline Mn2AlZn at its relaxed geometry.

a b c (Å): 4.808 4.808 4.808
angles (deg): 135.25 135.25 65.14
Last column: magnetic moment on the atom in μB.
Fractional positions:
Zn1 0.500 0.500 0.000  -0.07
Mn1 0.000 0.000 0.000  2.78
Al1 0.750 0.250 0.500  -0.07
Mn2 0.250 0.750 0.500  2.77

Calculated values
calculated total energy = -0.215 hartree per atom

---

No. 10
A plane-wave DFT calculation with PBE was carried out for crystalline Mn2AlZn6 at its relaxed geometry.

a b c (Å): 3.830 6.109 6.048
angles (deg): 84.30 71.54 71.73
Last column: magnetic moment on the atom in μB.
Fractional positions:
Mn1 0.662 0.500 0.176  2.90
Al1 0.000 0.500 0.500  -0.04
Zn1 0.668 0.825 0.839  -0.04
Zn2 0.332 0.836 0.500  -0.04
Mn2 0.338 0.500 0.824  2.90
Zn3 0.993 0.175 0.839  -0.04
Zn4 0.332 0.175 0.161  -0.04
Zn5 0.007 0.825 0.161  -0.04
Zn6 0.668 0.164 0.500  -0.04

Calculated values
calculated total energy = -0.122 hartree per atom

---

No. 11
A plane-wave DFT calculation with PBE was carried out for crystalline MnAlZn2 at its relaxed geometry.

a b c (Å): 4.674 4.674 2.830
angles (deg): 90.00 90.00 110.66
Last column: magnetic moment on the atom in μB.
Fractional positions:
Zn1 0.000 0.000 0.000  -0.06
Mn1 0.000 0.500 0.500  3.04
Zn2 0.500 0.500 0.000  -0.06
Al1 0.500 0.000 0.500  -0.01

Calculated values
calculated total energy = -0.142 hartree per atom

---

No. 12
A plane-wave DFT calculation with PBE was carried out for crystalline Mn8Al27Zn3 at its relaxed geometry.

a b c (Å): 7.781 12.302 12.568
angles (deg): 90.00 108.03 90.00
Last column: magnetic moment on the atom in μB.
Fractional positions:
Zn1 0.635 0.250 0.271  0.00
Al1 0.262 0.065 0.890  -0.01
Al2 0.684 0.616 0.781  -0.01
Al3 0.204 0.750 0.998  -0.01
Mn1 0.639 0.051 0.279  -0.32
Al4 0.363 0.567 0.348  -0.03
Al5 0.363 0.933 0.348  -0.03
Al6 0.096 0.884 0.781  -0.01
Al7 0.105 0.632 0.565  -0.01
Al8 0.628 0.435 0.890  -0.01
Al9 0.207 0.250 0.002  -0.01
Zn2 0.023 0.084 0.046  -0.02
Al10 0.539 0.126 0.078  0.00
Al11 0.985 0.567 0.348  -0.03
Al12 0.689 0.250 0.773  -0.03
Mn2 0.914 0.409 0.829  2.33
Al13 0.739 0.938 0.479  -0.01
Al14 0.015 0.067 0.652  -0.03
Mn3 0.542 0.750 0.085  -0.35
Al15 0.361 0.149 0.721  -0.01
Al16 0.372 0.565 0.110  -0.01
Al17 0.186 0.250 0.373  -0.02
Al18 0.539 0.374 0.078  0.00
Al19 0.895 0.368 0.435  -0.01
Al20 0.096 0.616 0.781  -0.01
Mn4 0.081 0.250 0.163  0.94
Al21 0.916 0.750 0.227  -0.03
Al22 0.015 0.433 0.652  -0.03
Al23 0.261 0.438 0.521  -0.01
Mn5 0.639 0.449 0.279  -0.32
Mn6 0.361 0.551 0.721  -0.32
Al24 0.684 0.884 0.781  -0.01
Al25 0.637 0.067 0.652  -0.03
Al26 0.316 0.116 0.219  -0.01
Al27 0.796 0.250 0.002  -0.01
Zn3 0.977 0.916 0.954  -0.02
Zn4 0.023 0.416 0.046  -0.02
Al28 0.372 0.935 0.110  -0.01
Mn7 0.458 0.250 0.915  -0.35
Mn8 0.086 0.909 0.171  2.33
Mn9 0.881 0.750 0.436  1.51
Al29 0.084 0.250 0.773  -0.03
Zn5 0.977 0.584 0.954  -0.02
Zn6 0.365 0.750 0.729  0.00
Al30 0.739 0.562 0.479  -0.01
Mn10 0.555 0.750 0.436  1.51
Al31 0.105 0.868 0.565  -0.01
Al32 0.461 0.874 0.922  0.00
Al33 0.262 0.435 0.890  -0.01
Al34 0.738 0.935 0.110  -0.01
Al35 0.316 0.384 0.219  -0.01
Al36 0.361 0.351 0.721  -0.01
Mn11 0.445 0.250 0.564  1.51
Al37 0.895 0.132 0.435  -0.01
Mn12 0.361 0.949 0.721  -0.32
Al38 0.540 0.132 0.435  -0.01
Al39 0.793 0.750 0.998  -0.01
Mn13 0.086 0.591 0.171  2.33
Al40 0.814 0.750 0.627  -0.02
Al41 0.738 0.565 0.110  -0.01
Al42 0.904 0.116 0.219  -0.01
Al43 0.639 0.649 0.279  -0.01
Al44 0.460 0.632 0.565  -0.01
Mn14 0.919 0.750 0.837  0.94
Mn15 0.914 0.091 0.829  2.33
Al45 0.904 0.384 0.219  -0.01
Al46 0.460 0.868 0.565  -0.01
Al47 0.628 0.065 0.890  -0.01
Al48 0.639 0.851 0.279  -0.01
Al49 0.540 0.368 0.435  -0.01
Al50 0.311 0.750 0.227  -0.03
Al51 0.637 0.433 0.652  -0.03
Al52 0.461 0.626 0.922  0.00
Al53 0.985 0.933 0.348  -0.03
Mn16 0.119 0.250 0.564  1.51
Al54 0.261 0.062 0.521  -0.01

Calculated values
calculated total energy = -0.178 hartree per atom

---

No. 13
A plane-wave DFT calculation with PBE was carried out for crystalline Mn2AlZn at its relaxed geometry.

a b c (Å): 5.107 5.107 4.501
angles (deg): 64.43 64.43 31.36
Last column: magnetic moment on the atom in μB.
Fractional positions:
Zn1 0.502 0.502 0.429  -0.05
Mn1 0.998 0.998 0.940  2.91
Al1 0.749 0.749 0.818  -0.06
Mn2 0.250 0.250 0.313  2.76

Calculated values
calculated total energy = -0.215 hartree per atom

---

No. 14
A plane-wave DFT calculation with PBE was carried out for crystalline MnAlZn2 at its relaxed geometry.

a b c (Å): 8.870 8.870 8.870
angles (deg): 17.93 17.93 17.93
Last column: magnetic moment on the atom in μB.
Fractional positions:
Al1 0.495 0.495 0.495  -0.02
Zn1 0.249 0.249 0.249  0.02
Mn1 0.751 0.751 0.751  2.49
Zn2 0.005 0.005 0.005  -0.03

Calculated values
calculated total energy = -0.141 hartree per atom

---

No. 15
A plane-wave DFT calculation with PBE was carried out for crystalline MnAlZn4 at its relaxed geometry.

a b c (Å): 5.034 5.034 5.034
angles (deg): 60.00 60.00 60.00
Last column: magnetic moment on the atom in μB.
Fractional positions:
Zn1 0.124 0.625 0.625  -0.04
Zn2 0.625 0.124 0.625  -0.04
Al1 0.250 0.250 0.250  -0.01
Zn3 0.625 0.625 0.124  -0.04
Zn4 0.625 0.625 0.625  -0.04
Mn1 0.000 0.000 0.000  3.47

Calculated values
energy above the lowest structure with this stoichiometry = 24 meV/atom
calculated total energy = -0.106 hartree per atom

---

No. 16
A plane-wave DFT calculation with PBE was carried out for crystalline Mn2AlZn at its relaxed geometry.

a b c (Å): 8.653 8.653 8.653
angles (deg): 17.58 17.58 17.58
Last column: magnetic moment on the atom in μB.
Fractional positions:
Al1 0.750 0.750 0.750  -0.04
Zn1 0.250 0.250 0.250  -0.03
Mn1 0.002 0.002 0.002  1.65
Mn2 0.498 0.498 0.498  1.65

Calculated values
calculated total energy = -0.212 hartree per atom

---

No. 17
A plane-wave DFT calculation with PBE was carried out for crystalline MnAlZn2 at its relaxed geometry.

a b c (Å): 2.777 2.777 7.670
angles (deg): 90.00 90.00 90.01
Last column: magnetic moment on the atom in μB.
Fractional positions:
Zn1 0.000 0.000 0.989  -0.02
Zn2 0.000 0.000 0.511  -0.02
Al1 0.500 0.500 0.250  0.02
Mn1 0.500 0.500 0.750  3.14

Calculated values
calculated total energy = -0.140 hartree per atom

---

No. 18
A plane-wave DFT calculation with PBE was carried out for crystalline MnAlZn3 at its relaxed geometry.

a b c (Å): 4.720 4.720 4.720
angles (deg): 90.00 90.00 90.00
Last column: magnetic moment on the atom in μB.
Fractional positions:
Zn1 0.000 0.500 0.000  0.00
Zn2 0.500 0.000 0.000  -0.03
Al1 0.500 0.500 0.500  -0.01
Mn1 0.000 0.000 0.000  2.74
Zn3 0.000 0.000 0.500  0.01

Calculated values
energy above the lowest structure with this stoichiometry = 0 meV/atom
calculated total energy = -0.097 hartree per atom

---

No. 19
A plane-wave DFT calculation with PBE was carried out for crystalline Mn2AlZn at its relaxed geometry.

a b c (Å): 3.851 3.850 3.603
angles (deg): 90.00 90.00 90.00
Last column: magnetic moment on the atom in μB.
Fractional positions:
Mn1 0.500 0.500 0.000  2.66
Mn2 0.000 0.000 0.000  2.66
Zn1 0.500 0.000 0.500  -0.06
Al1 0.000 0.500 0.500  -0.07

Calculated values
calculated total energy = -0.218 hartree per atom

---

No. 20
A plane-wave DFT calculation with PBE was carried out for crystalline Mn2AlZn at its relaxed geometry.

a b c (Å): 2.745 3.571 5.460
angles (deg): 90.00 90.00 90.00
Last column: magnetic moment on the atom in μB.
Fractional positions:
Zn1 0.500 0.500 0.250  -0.06
Mn1 0.000 0.000 0.998  2.69
Al1 0.500 0.500 0.750  -0.07
Mn2 0.000 0.000 0.502  2.69

Calculated values
calculated total energy = -0.218 hartree per atom

---

No. 21
A plane-wave DFT calculation with PBE was carried out for crystalline MnAl4Zn2 at its relaxed geometry.

a b c (Å): 6.996 6.996 5.497
angles (deg): 129.52 129.52 90.00
Last column: magnetic moment on the atom in μB.
Fractional positions:
Zn1 0.250 0.750 0.500  -0.01
Al1 0.806 0.806 0.000  -0.02
Al2 0.194 0.806 0.000  -0.02
Al3 0.194 0.194 0.000  -0.02
Al4 0.806 0.194 0.000  -0.02
Mn1 0.500 0.500 0.000  3.65
Zn2 0.750 0.250 0.500  -0.01

Calculated values
calculated total energy = -0.133 hartree per atom

---

No. 22
A plane-wave DFT calculation with PBE was carried out for crystalline Mn2AlZn at its relaxed geometry.

a b c (Å): 4.242 4.242 4.242
angles (deg): 60.00 60.00 60.00
Last column: magnetic moment on the atom in μB.
Fractional positions:
Zn1 0.250 0.250 0.250  0.00
Mn1 0.750 0.750 0.750  -2.66
Mn2 0.000 0.000 0.000  2.93
Al1 0.500 0.500 0.500  0.01

Calculated values
calculated total energy = -0.216 hartree per atom

---

No. 23
A plane-wave DFT calculation with PBE was carried out for crystalline MnAlZn2 at its relaxed geometry.

a b c (Å): 3.734 2.775 6.154
angles (deg): 62.73 90.00 90.00
Last column: magnetic moment on the atom in μB.
Fractional positions:
Al1 0.000 0.480 0.520  -0.04
Zn1 0.000 0.005 0.994  -0.03
Mn1 0.500 0.757 0.741  2.55
Zn2 0.500 0.258 0.244  -0.02

Calculated values
calculated total energy = -0.143 hartree per atom

---

No. 24
A plane-wave DFT calculation with PBE was carried out for crystalline Mn2AlZn at its relaxed geometry.

a b c (Å): 8.647 8.647 8.647
angles (deg): 17.45 17.45 17.45
Fractional positions:
Mn1 0.995 0.995 0.995
Mn2 0.257 0.257 0.257
Al1 0.743 0.743 0.743
Zn1 0.505 0.505 0.505

Calculated values
calculated total energy = -0.212 hartree per atom

---

Number 1: calculated formation energy -0.026 eV/atom. Number 2: calculated formation energy 0.006 eV/atom. Number 3: calculated formation energy -0.034 eV/atom. Number 4: calculated formation energy 0.089 eV/atom. Number 5: calculated formation energy -0.041 eV/atom. Number 6: calculated formation energy -0.027 eV/atom. Number 7: calculated formation energy 0.135 eV/atom. Number 8: calculated formation energy 0.013 eV/atom. Number 9: calculated formation energy -0.007 eV/atom. Number 10: calculated formation energy -0.021 eV/atom. Number 11: calculated formation energy -0.001 eV/atom. Number 12: calculated formation energy -0.165 eV/atom. Number 13: calculated formation energy -0.025 eV/atom. Number 14: calculated formation energy 0.039 eV/atom. Number 15: calculated formation energy 0.122 eV/atom. Number 16: calculated formation energy 0.061 eV/atom. Number 17: calculated formation energy 0.046 eV/atom. Number 18: calculated formation energy 0.699 eV/atom. Number 19: calculated formation energy -0.096 eV/atom. Number 20: calculated formation energy -0.101 eV/atom. Number 21: calculated formation energy 0.184 eV/atom. Number 22: calculated formation energy -0.048 eV/atom. Number 23: calculated formation energy -0.026 eV/atom. Number 24: calculated formation energy 0.075 eV/atom.